# PBE-GGA LiCe3Ge3, relaxed
data_LiCe3Ge3
_chemical_formula_sum 'Li2 Ce6 Ge6'
_cell_length_a 5.9291
_cell_length_b 5.9291
_cell_length_c 14.2591
_cell_angle_alpha 108.40
_cell_angle_beta 108.40
_cell_angle_gamma 43.46
_space_group_name_H-M_alt 'P 1'
_space_group_IT_number 1
loop_
_space_group_symop_operation_xyz
'x,y,z'
loop_
_atom_site_label
_atom_site_type_symbol
_atom_site_fract_x
_atom_site_fract_y
_atom_site_fract_z
_atom_site_occupancy
Li1 Li 0.2438 0.2438 0.4073 1
Li2 Li 0.7562 0.7562 0.5927 1
Ce1 Ce 0.2508 0.2508 0.7769 1
Ce2 Ce 0.4001 0.4001 0.0785 1
Ce3 Ce 0.4674 0.4674 0.6202 1
Ce4 Ce 0.5326 0.5326 0.3798 1
Ce5 Ce 0.5999 0.5999 0.9215 1
Ce6 Ce 0.7492 0.7492 0.2231 1
Ge1 Ge 0.0412 0.0412 0.2328 1
Ge2 Ge 0.1197 0.1197 0.0751 1
Ge3 Ge 0.1250 0.1250 0.5501 1
Ge4 Ge 0.8750 0.8750 0.4499 1
Ge5 Ge 0.8803 0.8803 0.9249 1
Ge6 Ge 0.9588 0.9588 0.7672 1
# Magnetization, Bohr magnetons per cell: 5.467
# SG: C2/m
# E_tot, eV/atom: -5.428
# DOS at the Fermi energy, states/eV per cell: 34.792
# ΔH_f (0 K), meV/atom: -633
# Energy above the most stable polymorph in this dataset, eV/atom: 0.000
# Theoretical density, g/cm3: 6.61